No. 1
10
Lattice="-3.9564 -3.7987 2.6565 3.6400 0.1019 5.5666 -2.0680 5.8045 5.2203" Properties=species:S:1:pos:R:3 comment="Rb2As2Pd (PBEsol, relaxed)" formation_enthalpy_0k_mev_per_atom=-484.7 pbc="T T T"
As 1.1597 0.3607 5.7380
As -3.5441 1.7469 7.7054
As -1.2281 1.8118 11.2472
As -1.1562 0.2959 2.1963
Rb -0.9353 -0.3677 8.5669
Rb -1.4491 2.4753 4.8766
Rb -1.7903 -1.8465 5.1788
Rb -0.5940 3.9541 8.2647
Pd 0.0000 0.0000 0.0000
Pd -1.9782 -1.8994 1.3283

No. 2
20
Lattice="-4.7876 5.4835 3.4996 4.1550 -3.9633 5.6803 5.1432 3.7149 -4.9984" Properties=species:S:1:pos:R:3 comment="Sn7Ru3 (PBEsol, relaxed)" formation_enthalpy_0k_mev_per_atom=-231.0 dos_at_fermi_per_ev_fu=5.17 pbc="T T T"
Sn 0.0197 4.9793 1.5456
Sn 4.4909 0.2559 2.6360
Sn 4.7380 2.1754 -0.0337
Sn -0.2274 3.0597 4.2153
Sn 2.0082 0.6980 4.7605
Sn 2.5024 4.5371 -0.5789
Sn 1.3384 -1.2767 1.8298
Sn 1.4530 1.6864 1.3470
Sn 3.4865 2.5182 -3.3883
Sn -3.2454 3.7171 2.3723
Sn 1.6568 1.1967 -1.6101
Sn -1.5422 1.7664 1.1273
Sn 3.0576 3.5488 2.8346
Sn 2.8165 -2.6866 3.8506
Ru 0.2329 6.0227 -0.9813
Ru 3.2102 -0.0858 0.2354
Ru 6.0880 -0.1626 0.4465
Ru -0.4142 0.9954 6.0106
Ru -0.2184 0.5249 3.1694
Ru 0.1228 3.1757 -0.5174

No. 3
8
Lattice="-4.8600 -0.0361 2.7368 -0.0770 -0.6567 5.5384 -1.3757 4.2832 3.2974" Properties=species:S:1:pos:R:3 comment="CoBrO2 (PBEsol, relaxed)" dos_at_fermi_per_ev_fu=4.13 pbc="T T T"
Co -1.5782 0.8976 2.8932
Co 0.0000 0.0000 0.0000
O -1.4769 2.5904 3.0953
O -0.7891 0.4488 1.4466
O -3.2191 0.4308 2.8150
O -0.8276 0.1205 4.2158
Br -4.7346 2.6928 8.6795
Br -3.1564 1.7952 5.7863

No. 4
5
Lattice="-4.6004 -0.7696 -1.8922 0.6847 -4.9856 0.3632 -1.9297 0.0745 4.6613" Properties=species:S:1:pos:R:3 comment="TlAg2BiPt (PBEsol, relaxed)" formation_enthalpy_0k_mev_per_atom=799.3 dos_at_fermi_per_ev_fu=2.22 pbc="T T T"
Ag -0.9648 0.0373 2.3306
Ag 0.3423 -2.4928 0.1816
Tl 0.0000 0.0000 0.0000
Bi -2.9227 -2.8403 1.5661
Pt -2.3002 -0.3848 -0.9461

No. 5
5
Lattice="3.3635 0.0000 0.0000 0.0000 5.0438 0.0000 0.0000 0.0000 5.0438" Properties=species:S:1:pos:R:3 comment="MnReTe2N (PBEsol, relaxed)" dos_at_fermi_per_ev_fu=5.43 pbc="T T T"
Re 1.6818 2.5219 2.5219
Te 0.0000 0.0000 2.5219
Te 0.0000 2.5219 0.0000
Mn 0.0000 0.0000 0.0000
N 1.6818 0.0000 0.0000

No. 6
4
Lattice="-1.8000 4.0679 -0.4956 -1.0826 -0.9941 -4.2277 -5.5908 -2.2355 1.9573" Properties=species:S:1:pos:R:3 comment="BaPt (PBEsol, relaxed)" formation_enthalpy_0k_mev_per_atom=-448.0 pbc="T T T"
Ba -2.6603 -0.2877 -2.8051
Ba -5.8131 1.1261 0.0391
Pt -5.4558 -1.4055 -1.8264
Pt -3.0176 2.2438 -0.9396

No. 7
4
Lattice="-0.9136 -2.1279 -1.3641 0.4627 -2.1085 2.9794 -4.9395 1.1206 1.5601" Properties=species:S:1:pos:R:3 comment="CuTcRh2 (PBEsol, relaxed)" formation_enthalpy_0k_mev_per_atom=-35.8 dos_at_fermi_per_ev_fu=2.91 pbc="T T T"
Rh -3.6992 0.8392 1.1684
Rh -1.2403 0.2814 0.3917
Tc -0.2255 -2.1182 0.8076
Cu -2.6952 -1.5579 1.5877

No. 8
4
Lattice="3.1451 0.0000 0.0000 -1.5726 3.0142 0.0000 0.0000 0.0000 7.3742" Properties=species:S:1:pos:R:3 comment="Be2TlCl (PBEsol, relaxed)" dos_at_fermi_per_ev_fu=1.48 pbc="T T T"
Be 0.0000 0.0000 5.4341
Be 0.0000 0.0000 1.9401
Tl 1.5726 0.0000 0.0000
Cl 1.5726 0.0000 3.6871

No. 9
5
Lattice="4.6250 0.0000 0.0000 0.0000 4.6250 0.0000 0.0000 0.0000 4.6839" Properties=species:S:1:pos:R:3 comment="NaScOs2Ru (PBEsol, relaxed)" formation_enthalpy_0k_mev_per_atom=1389.0 dos_at_fermi_per_ev_fu=3.91 pbc="T T T"
Sc 2.3125 2.3125 2.3419
Ru 0.0000 0.0000 0.0000
Os 0.0000 2.3125 0.0000
Os 2.3125 0.0000 0.0000
Na 0.0000 0.0000 2.3419

No. 10
5
Lattice="-3.7306 2.8892 -0.7475 0.3116 -1.0777 -5.7205 -3.6282 -4.5158 0.6531" Properties=species:S:1:pos:R:3 comment="BaMg2BiF (PBEsol, relaxed)" dos_at_fermi_per_ev_fu=3.57 pbc="T T T"
Mg -1.8141 -2.2579 0.3265
Mg 0.1558 -0.5388 -2.8602
F -1.8653 1.4446 -0.3738
Bi 0.0000 0.0000 0.0000
Ba -3.5236 -1.3521 -2.9075

No. 11
5
Lattice="5.7352 0.0000 0.0000 0.0000 5.7352 0.0000 0.0000 0.0000 5.6902" Properties=species:S:1:pos:R:3 comment="CsGaAs2Se (PBEsol, relaxed)" dos_at_fermi_per_ev_fu=5.38 pbc="T T T"
Cs 0.0000 0.0000 0.0000
As 0.0000 2.8676 0.0000
As 2.8676 0.0000 0.0000
Ga 2.8676 2.8676 2.8451
Se 0.0000 0.0000 2.8451

No. 12
5
Lattice="-2.2105 -3.9498 -2.2616 2.3616 -3.1446 3.1838 -4.1891 0.3610 3.4640" Properties=species:S:1:pos:R:3 comment="CaNb2BiI (PBEsol, relaxed)" dos_at_fermi_per_ev_fu=7.77 pbc="T T T"
I -2.0190 -3.3667 2.1931
Nb 1.1808 -1.5723 1.5919
Nb -1.1052 -1.9749 -1.1308
Ca 0.0000 0.0000 0.0000
Bi -2.0946 0.1805 1.7320

Number 1: magnetization 0.000 μB/atom, uncorrected energy -4.1290 eV/atom. Number 2: magnetization 0.000 μB/atom, uncorrected energy -6.2642 eV/atom. Number 3: magnetization 0.244 μB/atom, uncorrected energy -5.2670 eV/atom. Number 4: magnetization 0.000 μB/atom, uncorrected energy -3.3010 eV/atom. Number 5: magnetization 0.339 μB/atom, uncorrected energy -6.9690 eV/atom. Number 6: magnetization 0.000 μB/atom, uncorrected energy -5.0043 eV/atom. Number 7: magnetization 0.000 μB/atom, uncorrected energy -8.0051 eV/atom. Number 8: magnetization 0.000 μB/atom, uncorrected energy -2.6862 eV/atom. Number 9: magnetization 0.000 μB/atom, uncorrected energy -7.1328 eV/atom. Number 10: magnetization 0.000 μB/atom, uncorrected energy -2.8160 eV/atom. Number 11: magnetization 0.244 μB/atom, uncorrected energy -2.2185 eV/atom. Number 12: magnetization 0.376 μB/atom, uncorrected energy -4.0458 eV/atom.